Compound: HfSbC3
Source: Alexandria via LeMat-Bulk
Functional: GGA-PBE
Structure: optimized geometry

Structure (POSCAR):
```
HfSbC3
1.0
4.137 0.000 0.000
0.000 4.137 0.000
0.000 0.000 4.137
Hf Sb C
1 1 3
Cartesian
0.000 0.000 0.000
2.069 2.069 2.069
0.000 2.069 2.069
2.069 0.000 2.069
2.069 2.069 0.000
```

Computed properties:
electronic total energy = -30.54 eV/cell
N(E_F) = 3.54 states/eV/f.u.
space-group type = Pm-3m
raw formation energy = 216 kJ/mol of atoms
total moment = 0.00 μB per formula unit